Entry 1:
SmMg | GGA-PBE | optimized geometry

POSCAR file:
```
SmMg
1.0
2.609 4.518 0.000
-7.735 7.478 0.000
0.000 0.000 5.225
Mg Sm
5 5
Cartesian
-2.789 8.136 2.613
-5.710 6.810 2.613
-6.022 10.003 2.613
-4.087 5.875 0.000
-7.332 7.748 0.000
-0.175 3.615 0.000
-2.322 4.855 2.613
-4.405 9.071 0.000
1.246 5.807 2.613
-0.901 7.047 0.000
```


Entry 2:
Sm2Mg | GGA-PBE | optimized geometry

POSCAR file:
```
Sm2Mg
1.0
-1.649 -1.559 -2.695
3.504 -0.223 0.288
-1.685 -14.418 9.373
Sm Mg
4 2
Cartesian
-1.335 -13.124 6.107
-0.774 -8.327 2.989
-0.561 -4.801 3.121
-0.001 -0.005 0.003
-1.123 -9.612 6.249
-0.212 -3.517 -0.139
```


Entry 3:
SmMg | GGA-PBE | optimized geometry

POSCAR file:
```
SmMg
1.0
10.831 0.000 0.000
0.000 3.919 0.000
0.000 0.000 5.434
Mg Sm
4 4
Cartesian
10.305 0.000 0.000
10.454 1.959 2.717
1.921 0.000 2.717
8.008 1.959 0.000
2.184 1.959 0.000
5.322 0.000 0.000
7.744 0.000 2.717
4.606 1.959 2.717
```


Entry 4:
SmMg | GGA-PBE | optimized geometry

POSCAR file:
```
SmMg
1.0
0.000 3.190 3.190
3.190 0.000 3.190
3.190 3.190 0.000
Sm Mg
1 1
Cartesian
3.190 3.190 3.190
0.000 0.000 0.000
```


Entry 5:
SmMg | GGA-PBE | optimized geometry

POSCAR file:
```
SmMg
1.0
-2.306 -5.078 -2.665
6.965 2.788 -11.338
4.211 -2.897 1.875
Mg Sm
8 8
Cartesian
1.435 -1.473 -5.501
6.222 -3.292 -11.159
1.683 0.568 -2.902
3.116 -2.361 -2.742
-0.226 -2.139 -2.796
4.560 -3.957 -8.453
5.186 2.008 -8.547
6.619 -0.921 -8.387
2.847 -4.536 -5.499
1.387 -3.103 -0.006
4.906 -0.190 -11.316
3.149 -0.894 -8.455
4.788 -1.742 -5.542
6.914 2.750 -11.283
3.513 1.389 -5.747
1.089 -5.240 -2.638
```


Entry 6:
SmMg | GGA-PBE | optimized geometry

POSCAR file:
```
SmMg
1.0
11.678 0.000 0.000
0.000 7.154 0.000
0.000 0.000 5.438
Sm Mg
8 8
Cartesian
8.668 1.845 0.000
0.279 3.577 0.000
8.668 5.309 0.000
10.795 1.732 2.719
7.506 0.000 2.719
2.198 0.000 2.719
5.587 3.577 0.000
10.795 5.422 2.719
2.288 3.577 2.719
2.893 5.417 0.000
7.655 3.577 2.719
0.130 0.000 0.000
5.497 0.000 0.000
2.893 1.737 0.000
4.892 5.314 2.719
4.892 1.840 2.719
```


no.,energy above the most stable polymorph in this dataset (eV per formula unit)
1,0.092
2,0.018
3,0.134
4,0.937
5,0.265
6,0.144